[1]
# RbGaGe PBE optimized geometry
# - formation energy (meV per atom) = -46
# - uncorrected energy (eV per atom) = -2.92
data_RbGaGe
_chemical_formula_sum 'Rb4 Ga4 Ge4'
_space_group_name_H-M_alt 'C 1 2/m 1'
_space_group_IT_number 12
_cell_length_a 13.0268
_cell_length_b 4.0738
_cell_length_c 8.2282
_cell_angle_alpha 90.00
_cell_angle_beta 106.59
_cell_angle_gamma 90.00
loop_
_space_group_symop_operation_xyz
'x,y,z'
'-x,-y,-z'
'-x,y,-z'
'x,-y,z'
'x+1/2,y+1/2,z'
'-x+1/2,-y+1/2,-z'
'-x+1/2,y+1/2,-z'
'x+1/2,-y+1/2,z'
loop_
_atom_site_label
_atom_site_fract_x
_atom_site_fract_y
_atom_site_fract_z
_atom_site_occupancy
Rb1 0.0985 0.0000 0.2958 1
Ga1 0.1736 0.5000 0.9498 1
Ge1 0.1798 0.0000 0.7582 1

[2]
# CoAgRu2 PBE optimized geometry
# - formation energy (meV per atom) = 582
# - uncorrected energy (eV per atom) = -6.55
data_CoAgRu2
_chemical_formula_sum 'Co2 Ag2 Ru4'
_space_group_name_H-M_alt 'I m m 2'
_space_group_IT_number 44
_cell_length_a 2.8114
_cell_length_b 4.5638
_cell_length_c 8.9690
_cell_angle_alpha 90.00
_cell_angle_beta 90.00
_cell_angle_gamma 90.00
loop_
_space_group_symop_operation_xyz
'x,y,z'
'-x,-y,z'
'-x,y,z'
'x,-y,z'
'x+1/2,y+1/2,z+1/2'
'-x+1/2,-y+1/2,z+1/2'
'-x+1/2,y+1/2,z+1/2'
'x+1/2,-y+1/2,z+1/2'
loop_
_atom_site_label
_atom_site_fract_x
_atom_site_fract_y
_atom_site_fract_z
_atom_site_occupancy
Co1 0.0000 0.0000 0.0000 1
Ag1 0.0000 0.5000 0.7536 1
Ru1 0.0000 0.0000 0.5292 1
Ru2 0.0000 0.5000 0.2705 1

[3]
# Ca7Mg2Cu3 PBE optimized geometry
# - formation energy (meV per atom) = 598
# - uncorrected energy (eV per atom) = -1.86
data_Ca7Mg2Cu3
_chemical_formula_sum 'Ca21 Mg6 Cu9'
_space_group_name_H-M_alt 'R -3 m'
_space_group_IT_number 166
_space_group_name_Hall '-R 3 2"'
_cell_length_a 6.8441
_cell_length_b 6.8441
_cell_length_c 34.7013
_cell_angle_alpha 90.00
_cell_angle_beta 90.00
_cell_angle_gamma 120.00
loop_
_atom_site_label
_atom_site_fract_x
_atom_site_fract_y
_atom_site_fract_z
_atom_site_occupancy
Ca1 0.0000 0.0000 0.0000 1
Ca2 0.0051 0.5025 0.4212 1
Mg1 0.0000 0.0000 0.1663 1
Cu1 0.0000 0.0000 0.3099 1
Cu2 0.0000 0.0000 0.5000 1

[4]
# La3Pa2TaN6 PBE optimized geometry
# - uncorrected energy (eV per atom) = -9.43
data_La3Pa2TaN6
_chemical_formula_sum 'La6 Pa4 Ta2 N12'
_space_group_name_H-M_alt 'C 1 2/m 1'
_space_group_IT_number 12
_cell_length_a 6.0402
_cell_length_b 10.4454
_cell_length_c 6.2415
_cell_angle_alpha 90.00
_cell_angle_beta 108.69
_cell_angle_gamma 90.00
loop_
_space_group_symop_operation_xyz
'x,y,z'
'-x,-y,-z'
'-x,y,-z'
'x,-y,z'
'x+1/2,y+1/2,z'
'-x+1/2,-y+1/2,-z'
'-x+1/2,y+1/2,-z'
'x+1/2,-y+1/2,z'
loop_
_atom_site_label
_atom_site_fract_x
_atom_site_fract_y
_atom_site_fract_z
_atom_site_occupancy
La1 0.0000 0.0000 0.0000 1
La2 0.0000 0.3355 0.0000 1
Pa1 0.0000 0.1665 0.5000 1
Ta1 0.0000 0.5000 0.5000 1
N1 0.2237 0.3409 0.6949 1
N2 0.2487 0.0000 0.6997 1

[5]
# La4SiTe2Se PBE optimized geometry
# - uncorrected energy (eV per atom) = -5.89
data_La4SiTe2Se
_chemical_formula_sum 'La4 Si1 Te2 Se1'
_space_group_name_H-M_alt 'P 1 2/m 1'
_space_group_IT_number 10
_cell_length_a 7.6776
_cell_length_b 4.4439
_cell_length_c 7.8796
_cell_angle_alpha 90.00
_cell_angle_beta 109.04
_cell_angle_gamma 90.00
loop_
_space_group_symop_operation_xyz
'x,y,z'
'-x,-y,-z'
'-x,y,-z'
'x,-y,z'
loop_
_atom_site_label
_atom_site_fract_x
_atom_site_fract_y
_atom_site_fract_z
_atom_site_occupancy
La1 0.2352 0.0000 0.2237 1
La2 0.2507 0.5000 0.7747 1
Si1 0.0000 0.5000 0.0000 1
Te1 0.0000 0.0000 0.5000 1
Te2 0.5000 0.5000 0.5000 1
Se1 0.5000 0.0000 0.0000 1

[6]
# ZrHg2Sb PBE optimized geometry
# - uncorrected energy (eV per atom) = -3.43
data_ZrHg2Sb
_chemical_formula_sum 'Zr2 Hg4 Sb2'
_space_group_name_H-M_alt 'I -4 m 2'
_space_group_IT_number 119
_space_group_name_Hall 'I -4 -2'
_cell_length_a 4.3392
_cell_length_b 4.3392
_cell_length_c 9.7048
_cell_angle_alpha 90.00
_cell_angle_beta 90.00
_cell_angle_gamma 90.00
loop_
_atom_site_label
_atom_site_fract_x
_atom_site_fract_y
_atom_site_fract_z
_atom_site_occupancy
Zr1 0.0000 0.0000 0.0000 1
Hg1 0.0000 0.0000 0.5000 1
Hg2 0.0000 0.5000 0.2500 1
Sb1 0.0000 0.5000 0.7500 1

Q: Look up the uncorrected energy of the first one.
A: -2.92 eV per atom

Q: Look up the uncorrected energy of the third one.
A: -1.86 eV per atom

Q: Which value of uncorrected energy does entry 3 give?
A: -1.86 eV per atom